First-principles (PBE-GGA) data for crystalline Nb5Al2Si2 at its relaxed geometry, as listed in Alexandria.

Output
- D(E_F) (states/eV/cell) = 6.01
- formation energy without anion corrections (eV per atom) = -0.411
- SG = Cmce (64)

Lattice parameters (Å, degrees): 6.8804 6.7070 7.4950 90.00 62.68 90.00
With the nearest neighbours (Å) after each atom.
Element x y z (fractional)
Al1 0.7154 0.5000 0.5691  7 Nb 2.68-2.87
Al2 0.7846 0.0000 0.4309  7 Nb 2.68-2.87
Al3 0.2846 0.5000 0.4309  7 Nb 2.68-2.87
Al4 0.2154 0.0000 0.5691  7 Nb 2.68-2.87
Si1 0.1239 0.3757 0.0000  1 Si 2.38, 7 Nb 2.58-2.66
Si2 0.3761 0.8757 0.0000  1 Si 2.38, 7 Nb 2.58-2.66
Si3 0.6239 0.1243 0.0000  1 Si 2.38, 7 Nb 2.58-2.66
Si4 0.8761 0.6243 0.0000  1 Si 2.38, 7 Nb 2.58-2.66
Nb1 0.9540 0.3276 0.7473  3 Si 2.58-2.66, 3 Al 2.68-2.80
Nb2 0.7988 0.8276 0.7473  3 Si 2.58-2.66, 3 Al 2.68-2.80
Nb3 0.2012 0.1724 0.2527  3 Si 2.58-2.66, 3 Al 2.68-2.80
Nb4 0.7012 0.3276 0.2527  3 Si 2.58-2.66, 3 Al 2.68-2.80
Nb5 0.0000 0.0000 0.0000  4 Si 2.66-2.72, 2 Al 2.87
Nb6 0.4540 0.1724 0.7473  3 Si 2.58-2.66, 3 Al 2.68-2.80
Nb7 0.5460 0.8276 0.2527  3 Si 2.58-2.66, 3 Al 2.68-2.80
Nb8 0.0460 0.6724 0.2527  3 Si 2.58-2.66, 3 Al 2.68-2.80
Nb9 0.2988 0.6724 0.7473  3 Si 2.58-2.66, 3 Al 2.68-2.80
Nb10 0.5000 0.5000 0.0000  4 Si 2.66-2.72, 2 Al 2.87

First-principles (PBE-GGA) data for crystalline NbAl2Si at its relaxed geometry, as listed in Alexandria.

Output
- D(E_F) (states/eV/cell) = 6.80
- formation energy without anion corrections (eV per atom) = 0.191
- SG = I-42d (122)

Lattice parameters (Å, degrees): 7.3402 7.3402 5.7955 50.71 50.71 90.00
With the nearest neighbours (Å) after each atom.
Element x y z (fractional)
Al1 0.3750 0.4114 0.7500  2 Si 2.50, 2 Al 2.63
Al2 0.5886 0.1250 0.2500  2 Si 2.50, 2 Al 2.63
Al3 0.1614 0.6250 0.2500  2 Si 2.50, 2 Al 2.63
Al4 0.8750 0.8386 0.7500  2 Si 2.50, 2 Al 2.63
Nb1 0.7500 0.2500 0.5000  2 Si 2.58, 4 Al 2.86
Nb2 0.0000 0.0000 0.0000  2 Si 2.58, 4 Al 2.86
Si1 0.5000 0.5000 0.0000  4 Al 2.50, 2 Nb 2.58
Si2 0.2500 0.7500 0.5000  4 Al 2.50, 2 Nb 2.58

First-principles (PBE-GGA) data for crystalline NbAlSi at its relaxed geometry, as listed in Alexandria.

Output
- D(E_F) (states/eV/cell) = 3.43
- formation energy without anion corrections (eV per atom) = -0.303
- SG = P4/nmm (129)

Lattice parameters (Å, degrees): 3.7246 3.7246 6.8039 90.00 90.00 90.00
With the nearest neighbours (Å) after each atom.
Element x y z (fractional)
Nb1 0.0000 0.5000 0.3276  5 Si 2.58-2.64
Nb2 0.5000 0.0000 0.6724  5 Si 2.58-2.64
Al1 0.0000 0.0000 0.0000  4 Al 2.63, 4 Si 2.73, 4 Nb 2.90
Al2 0.5000 0.5000 0.0000  4 Al 2.63, 4 Si 2.73, 4 Nb 2.90
Si1 0.5000 0.0000 0.2926  5 Nb 2.58-2.64, 4 Al 2.73
Si2 0.0000 0.5000 0.7074  5 Nb 2.58-2.64, 4 Al 2.73

First-principles (PBE-GGA) data for crystalline NbAlSi at its relaxed geometry, as listed in Alexandria.

Output
- D(E_F) (states/eV/cell) = 2.75
- formation energy without anion corrections (eV per atom) = -0.443
- SG = Fdd2 (43)

Lattice parameters (Å, degrees): 5.0047 4.9118 5.1139 75.56 60.70 59.37
With the nearest neighbours (Å) after each atom.
Element x y z (fractional)
Nb1 0.5633 0.8733 0.5000  5 Si 2.65-2.88, 5 Al 2.67-2.88
Nb2 0.3133 0.3733 0.0000  5 Si 2.65-2.88, 5 Al 2.67-2.88
Si1 0.2320 0.5361 0.5000  5 Al 2.64-2.89, 5 Nb 2.65-2.88
Si2 0.9820 0.0361 0.0000  5 Al 2.64-2.89, 5 Nb 2.65-2.88
Al1 0.6540 0.6919 0.0000  5 Si 2.64-2.89, 5 Nb 2.67-2.88
Al2 0.9040 0.1919 0.5000  5 Si 2.64-2.89, 5 Nb 2.67-2.88